Below is a relaxed Ac3ZnRu crystal, with properties calculated at the PBE-GGA level.

Unit cell a=7.184 b=10.489 c=9.923 alpha=114.21 beta=90.00 gamma=90.00
Positions (direct):
Ru  0.751  0.616  0.088
Ru  0.249  0.384  0.912
Ru  0.251  0.884  0.912
Ru  0.749  0.116  0.088
Ac  0.430  0.137  0.905
Ac  0.070  0.637  0.905
Ac  0.408  0.734  0.626
Ac  0.413  0.555  0.208
Ac  0.592  0.266  0.374
Ac  0.908  0.766  0.374
Ac  0.587  0.445  0.792
Ac  0.087  0.055  0.208
Ac  0.570  0.863  0.095
Ac  0.092  0.234  0.626
Ac  0.930  0.363  0.095
Ac  0.913  0.945  0.792
Zn  0.155  0.437  0.436
Zn  0.345  0.937  0.436
Zn  0.845  0.563  0.564
Zn  0.655  0.063  0.564

Results
Crystal system: monoclinic
Calculated total energy (eV per formula unit): -23.62
Space-group type: P2_1/c, No. 14
Formation energy (meV per atom): -149
Total magnetization (μB/cell): 0.00


Below is a relaxed KNCl crystal, with properties calculated at the PBE-GGA level.

Unit cell a=5.621 b=5.605 c=6.300 alpha=90.03 beta=90.04 gamma=59.98
Positions (direct):
Cl  0.333  0.333  0.749
Cl  0.667  0.667  0.251
K  0.667  0.666  0.743
K  0.333  0.334  0.257
N  0.998  0.001  0.912
N  0.002  0.999  0.088

Results
Crystal system: triclinic
Calculated total energy (eV per formula unit): -14.99
Space-group type: P-1, No. 2
Raw formation energy (eV/atom): -1.24
Total magnetization (μB/cell): 0.07


Number 1: DOS at the Fermi energy 17.670 states/eV per cell. Number 2: DOS at the Fermi energy 0.000 states/eV per cell.